# 1
Nd5SmGe4 PBE-GGA optimized geometry; E_tot = -5.32 eV per atom; crystal system = monoclinic; space group = C2/m, No. 12; formation enthalpy at 0 K = -620 meV per atom
1.0
7.9010 -2.5760 0.0000
7.9010 2.5760 0.0000
-0.0441 0.0000 7.0463
Nd Sm Ge
5 1 4
direct
0.0000 0.0000 0.0000
0.3353 0.3353 0.0066
0.3347 0.3347 0.4926
0.6653 0.6653 0.5074
0.6647 0.6647 0.9934
0.0000 0.0000 0.5000
0.1773 0.1773 0.7495
0.4905 0.4905 0.7468
0.5095 0.5095 0.2532
0.8227 0.8227 0.2505

# 2
Cu3GeCl PBE-GGA optimized geometry; E_tot = -2.96 eV per atom; crystal system = cubic; space group = Pm-3m, No. 221; uncorrected formation energy = 0.7874 eV/atom
1.0
4.4774 0.0000 0.0000
0.0000 4.4774 0.0000
0.0000 0.0000 4.4774
Cu Ge Cl
3 1 1
direct
0.0000 0.0000 0.5000
0.0000 0.5000 0.0000
0.5000 0.0000 0.0000
0.5000 0.5000 0.5000
0.0000 0.0000 0.0000

# 3
Hf2MoRu2 PBE-GGA optimized geometry; E_tot = -9.88 eV per atom; crystal system = tetragonal; space group = P4/mbm, No. 127; formation enthalpy at 0 K = -26 meV per atom
1.0
7.5522 0.0000 0.0000
0.0000 7.5522 0.0000
0.0000 0.0000 3.0642
Hf Mo Ru
4 2 4
direct
0.1505 0.3495 0.0000
0.3495 0.8495 0.0000
0.6505 0.1505 0.0000
0.8495 0.6505 0.0000
0.0000 0.0000 0.0000
0.5000 0.5000 0.0000
0.1515 0.6515 0.5000
0.3485 0.1515 0.5000
0.6515 0.8485 0.5000
0.8485 0.3485 0.5000

# 4
Ga2SnPd9 PBE-GGA optimized geometry; E_tot = -5.20 eV per atom; crystal system = tetragonal; space group = P4/mmm, No. 123; formation enthalpy at 0 K = -466 meV per atom
1.0
3.9752 0.0000 0.0000
0.0000 3.9752 0.0000
0.0000 0.0000 11.8086
Ga Sn Pd
2 1 9
direct
0.0000 0.0000 0.1616
0.0000 0.0000 0.8384
0.0000 0.0000 0.5000
0.0000 0.5000 0.0000
0.0000 0.5000 0.3259
0.0000 0.5000 0.6741
0.5000 0.0000 0.0000
0.5000 0.0000 0.3259
0.5000 0.0000 0.6741
0.5000 0.5000 0.1630
0.5000 0.5000 0.5000
0.5000 0.5000 0.8370

# 5
Zr2PSe PBE-GGA optimized geometry; E_tot = -7.83 eV per atom; crystal system = trigonal; space group = R3m, No. 160; uncorrected formation energy = -1.3370 eV/atom
1.0
1.8581 1.0728 6.6119
-1.8581 1.0728 6.6119
0.0000 -2.1456 6.6119
Zr P Se
2 1 1
direct
0.0000 0.0000 0.0000
0.1895 0.1895 0.1895
0.5951 0.5951 0.5951
0.7635 0.7635 0.7635

# 6
CoWCl4 PBE-GGA optimized geometry; E_tot = -2.87 eV per atom; crystal system = cubic; space group = F-43m, No. 216; uncorrected formation energy = 1.7010 eV/atom
1.0
0.0000 4.0274 4.0274
4.0274 0.0000 4.0274
4.0274 4.0274 0.0000
Co W Cl
1 1 4
direct
0.0000 0.0000 0.0000
0.7500 0.7500 0.7500
0.3748 0.3748 0.3748
0.3748 0.3748 0.8754
0.3748 0.8754 0.3748
0.8754 0.3748 0.3748